Nb4Ag2O11: PBEsol geometry, SCAN.

Values from the calculation:
- Raw formation energy: -2281 meV/atom
- Fermi-level density of states: 0.00 states/eV/cell
- VASP energy: -17.7987 eV/atom

a = 6.2086 Å, b = 6.2086 Å, c = 37.6188 Å
α = 90.00°, β = 90.00°, γ = 120.00°
Space group R3c (No. 161, hexagonal axes)
Unique sites:
Nb  0.0000  0.0000  0.0000 x6
Nb  0.0371  0.3381  0.0809 x18
Ag  0.0000  0.0000  0.1703 x6
Ag  0.0000  0.0000  0.3291 x6
O  0.0000  0.0000  0.0862 x6
O  0.0000  0.0000  0.3989 x6
O  0.0018  0.2546  0.2451 x18
O  0.0215  0.2810  0.0246 x18
O  0.0910  0.3908  0.1302 x18


Ta2PtCl: PBEsol geometry, SCAN.

Values from the calculation:
- Raw formation energy: 422 meV/atom
- Fermi-level density of states: 7.73 states/eV/cell
- VASP energy: -52.4121 eV/atom

a = 3.749 Å, b = 3.749 Å, c = 9.530 Å
α = 90.00°, β = 90.00°, γ = 90.00°
Space group I-4m2 (No. 119)
Unique sites:
Ta  0.000  0.000  0.000 x2
Ta  0.000  0.500  0.250 x2
Pt  0.000  0.500  0.750 x2
Cl  0.000  0.000  0.500 x2


Cu3Au5: PBEsol geometry, SCAN.

Values from the calculation:
- Fermi-level density of states: 4.17 states/eV/cell
- VASP energy: -48.9848 eV/atom
- Energy of formation: -0.062 eV per atom

a = 7.711 Å, b = 8.036 Å, c = 3.863 Å
α = 90.00°, β = 90.00°, γ = 90.00°
Space group Cmmm (No. 65)
Unique sites:
Cu  0.000  0.000  0.000 x2
Cu  0.000  0.253  0.500 x4
Au  0.000  0.500  0.000 x2
Au  0.230  0.000  0.500 x4
Au  0.250  0.250  0.000 x4


SrCa2Re: PBEsol geometry, SCAN.

Values from the calculation:
- Fermi-level density of states: 8.18 states/eV/cell
- VASP energy: -27.2903 eV/atom
- Energy of formation: 0.885 eV per atom

a = 4.976 Å, b = 4.976 Å, c = 8.480 Å
α = 90.00°, β = 90.00°, γ = 90.00°
Space group I4/mmm (No. 139)
Unique sites:
Sr  0.000  0.000  0.000 x2
Ca  0.000  0.500  0.250 x4
Re  0.000  0.000  0.500 x2


CuAu3C: PBEsol geometry, SCAN.

Values from the calculation:
- Fermi-level density of states: 1.57 states/eV/cell
- VASP energy: -45.8205 eV/atom
- Energy of formation: 0.733 eV per atom

a = 4.221 Å, b = 4.221 Å, c = 4.221 Å
α = 90.00°, β = 90.00°, γ = 90.00°
Space group Pm-3m (No. 221)
Unique sites:
Cu  0.000  0.000  0.000 x1
Au  0.000  0.500  0.500 x3
C  0.500  0.500  0.500 x1


Zr2CuSiRu: PBEsol geometry, SCAN.

Values from the calculation:
- Raw formation energy: 327 meV/atom
- Fermi-level density of states: 4.08 states/eV/cell
- VASP energy: -23.9608 eV/atom

a = 4.904 Å, b = 4.904 Å, c = 4.444 Å
α = 90.00°, β = 90.00°, γ = 90.00°
Space group P4/mmm (No. 123)
Unique sites:
Zr  0.000  0.500  0.000 x2
Cu  0.000  0.000  0.500 x1
Si  0.500  0.500  0.500 x1
Ru  0.500  0.500  0.000 x1


AgBi2S2: PBEsol geometry, SCAN.

Values from the calculation:
- Raw formation energy: 238 meV/atom
- Fermi-level density of states: 4.72 states/eV/cell
- VASP energy: -41.3184 eV/atom

a = 7.815 Å, b = 7.815 Å, c = 3.686 Å
α = 90.00°, β = 90.00°, γ = 90.00°
Space group P4/mbm (No. 127)
Unique sites:
Ag  0.000  0.000  0.000 x2
Bi  0.170  0.330  0.500 x4
S  0.145  0.645  0.000 x4


ScIrRu3: PBEsol geometry, SCAN.

Values from the calculation:
- Fermi-level density of states: 4.76 states/eV/cell
- VASP energy: -36.8343 eV/atom
- Energy of formation: 1.129 eV per atom

a = 4.618 Å, b = 4.618 Å, c = 4.618 Å
α = 90.00°, β = 90.00°, γ = 90.00°
Space group Pm-3m (No. 221)
Unique sites:
Sc  0.000  0.000  0.000 x1
Ir  0.500  0.500  0.500 x1
Ru  0.000  0.500  0.500 x3